## P
The following is a DFT calculation (GGA-PBE) of an optimized crystal structure of CdGa4Ag7. Values from VASP.

Cell and atoms, written as Quantum ESPRESSO input:
```
&SYSTEM
  ibrav = 0, nat = 12, ntyp = 3
/
ATOMIC_SPECIES
Cd 112.41 Cd.upf
Ga 69.72 Ga.upf
Ag 107.87 Ag.upf
ATOMIC_POSITIONS crystal
Cd 0.000 0.000 0.000
Ga 0.333 0.667 0.170
Ga 0.333 0.667 0.418
Ga 0.667 0.333 0.582
Ga 0.667 0.333 0.830
Ag 0.000 0.000 0.251
Ag 0.000 0.000 0.500
Ag 0.000 0.000 0.749
Ag 0.333 0.667 0.663
Ag 0.333 0.667 0.911
Ag 0.667 0.333 0.089
Ag 0.667 0.333 0.337
CELL_PARAMETERS angstrom
3.008 0.000 0.000
-1.504 2.605 0.000
0.000 0.000 27.571
```

Calculated values
D(E_F), states/eV per atom: 0.383


## Q
The following is a DFT calculation (GGA-PBE) of an optimized crystal structure of CdGa4Ag7. Values from VASP.

Cell and atoms, written as Quantum ESPRESSO input:
```
&SYSTEM
  ibrav = 0, nat = 12, ntyp = 3
/
ATOMIC_SPECIES
Cd 112.41 Cd.upf
Ga 69.72 Ga.upf
Ag 107.87 Ag.upf
ATOMIC_POSITIONS crystal
Cd 0.000 0.000 0.000
Ga 0.272 0.272 0.686
Ga 0.414 0.414 0.230
Ga 0.586 0.586 0.770
Ga 0.728 0.728 0.314
Ag 0.042 0.042 0.378
Ag 0.211 0.211 0.918
Ag 0.345 0.345 0.458
Ag 0.500 0.500 0.000
Ag 0.655 0.655 0.542
Ag 0.789 0.789 0.082
Ag 0.958 0.958 0.622
CELL_PARAMETERS angstrom
5.264 -2.609 0.000
5.264 2.609 0.000
-4.895 0.000 8.570
```

Calculated values
D(E_F), states/eV per atom: 0.333


Which of the structures shown above is the most stable? The most stable is P.